Entry from Alexandria: Sr2CrRh at its PBEsol-relaxed geometry (meta-GGA SCAN).

Unit cell a=5.221 b=5.221 c=5.221 alpha=60.00 beta=60.00 gamma=60.00
Sites, in units of the cell vectors:
Sr  0.250  0.250  0.250
Sr  0.750  0.750  0.750
Cr  0.000  0.000  0.000
Rh  0.500  0.500  0.500

Summary:
space-group type	Fm-3m (225)
energy of formation from the pure elements	0.193	eV per atom


Entry from Alexandria: Ir3Rh5 at its PBEsol-relaxed geometry (meta-GGA SCAN).

Unit cell a=5.367 b=5.367 c=3.795 alpha=90.00 beta=90.00 gamma=90.06
Sites, in units of the cell vectors:
Ir  0.000  0.000  0.000
Ir  0.250  0.250  0.500
Ir  0.750  0.750  0.500
Rh  0.000  0.500  0.000
Rh  0.250  0.750  0.500
Rh  0.500  0.000  0.000
Rh  0.500  0.500  0.000
Rh  0.750  0.250  0.500

Summary:
space-group type	Cmmm (65)
energy of formation from the pure elements	-0.022	eV per atom


Entry from Alexandria: LaCoIr at its PBEsol-relaxed geometry (meta-GGA SCAN).

Unit cell a=4.364 b=4.364 c=4.364 alpha=60.00 beta=60.00 gamma=60.00
Sites, in units of the cell vectors:
La  0.000  0.000  0.000
Co  0.750  0.750  0.750
Ir  0.500  0.500  0.500

Summary:
space-group type	F-43m (216)
energy of formation from the pure elements	0.051	eV per atom


Entry from Alexandria: ScInCl3 at its PBEsol-relaxed geometry (meta-GGA SCAN).

Unit cell a=5.279 b=5.279 c=5.279 alpha=90.00 beta=90.00 gamma=90.00
Sites, in units of the cell vectors:
Sc  0.000  0.000  0.000
In  0.500  0.500  0.500
Cl  0.000  0.500  0.500
Cl  0.500  0.000  0.500
Cl  0.500  0.500  0.000

Summary:
E_form (uncorrected)	-54.9	kJ per mole of atoms
space-group type	Pm-3m (221)


Entry from Alexandria: ZnCu2Rh at its PBEsol-relaxed geometry (meta-GGA SCAN).

Unit cell a=2.975 b=2.975 c=5.559 alpha=90.00 beta=90.00 gamma=90.00
Sites, in units of the cell vectors:
Zn  0.000  0.000  0.000
Cu  0.000  0.000  0.480
Cu  0.500  0.500  0.250
Rh  0.500  0.500  0.742

Summary:
space-group type	P4mm (99)
energy of formation from the pure elements	-0.132	eV per atom


Entry from Alexandria: Co2Pt at its PBEsol-relaxed geometry (meta-GGA SCAN).

Unit cell a=4.511 b=4.511 c=4.143 alpha=90.00 beta=90.00 gamma=59.15
Sites, in units of the cell vectors:
Co  0.009  0.340  0.250
Co  0.340  0.009  0.750
Co  0.660  0.991  0.250
Co  0.991  0.660  0.750
Pt  0.316  0.684  0.250
Pt  0.684  0.316  0.750

Summary:
space-group type	Cmcm (63)
energy of formation from the pure elements	-0.107	eV per atom


Entry from Alexandria: Ba2AgPdS at its PBEsol-relaxed geometry (meta-GGA SCAN).

Unit cell a=5.992 b=5.992 c=4.460 alpha=90.00 beta=90.00 gamma=90.00
Sites, in units of the cell vectors:
Ba  0.000  0.500  0.000
Ba  0.500  0.000  0.000
Ag  0.000  0.000  0.500
Pd  0.500  0.500  0.500
S  0.500  0.500  0.000

Summary:
E_form (uncorrected)	-77.6	kJ per mole of atoms
space-group type	P4/mmm (123)


Entry from Alexandria: CrN2O2 at its PBEsol-relaxed geometry (meta-GGA SCAN).

Unit cell a=3.403 b=3.403 c=3.560 alpha=90.00 beta=90.00 gamma=90.00
Sites, in units of the cell vectors:
Cr  0.000  0.000  0.000
N  0.000  0.500  0.500
N  0.500  0.000  0.500
O  0.500  0.500  0.000
O  0.500  0.500  0.500

Summary:
distance to the lowest polymorph of the same formula	4.284	eV/f.u.
E_form (uncorrected)	154.6	kJ per mole of atoms
space-group type	P4/mmm (123)


Entry from Alexandria: MgIrO2 at its PBEsol-relaxed geometry (meta-GGA SCAN).

Unit cell a=3.859 b=3.859 c=3.859 alpha=60.00 beta=60.00 gamma=60.00
Sites, in units of the cell vectors:
Mg  0.000  0.000  0.000
Ir  0.500  0.500  0.500
O  0.250  0.250  0.250
O  0.750  0.750  0.750

Summary:
E_form (uncorrected)	-41.4	kJ per mole of atoms
space-group type	Fm-3m (225)


Entry from Alexandria: AsRh3 at its PBEsol-relaxed geometry (meta-GGA SCAN).

Unit cell a=2.805 b=3.948 c=5.215 alpha=90.00 beta=104.07 gamma=90.00
Sites, in units of the cell vectors:
As  0.000  0.000  0.000
Rh  0.000  0.000  0.500
Rh  0.377  0.500  0.240
Rh  0.623  0.500  0.760

Summary:
space-group type	P2/m (10)
energy of formation from the pure elements	-0.123	eV per atom


Entry from Alexandria: SnSb2HI at its PBEsol-relaxed geometry (meta-GGA SCAN).

Unit cell a=4.482 b=4.482 c=5.996 alpha=90.00 beta=90.00 gamma=90.00
Sites, in units of the cell vectors:
Sn  0.000  0.000  0.000
Sb  0.000  0.500  0.500
Sb  0.500  0.000  0.500
H  0.500  0.500  0.500
I  0.500  0.500  0.000

Summary:
uncorrected energy	-29.65	eV/atom
space-group type	P4/mmm (123)


Entry from Alexandria: KTl2Ag2 at its PBEsol-relaxed geometry (meta-GGA SCAN).

Unit cell a=6.416 b=6.416 c=6.416 alpha=133.15 beta=133.15 gamma=68.42
Sites, in units of the cell vectors:
K  0.000  0.000  0.000
Tl  0.359  0.359  0.000
Tl  0.641  0.641  0.000
Ag  0.250  0.750  0.500
Ag  0.750  0.250  0.500

Summary:
space-group type	I4/mmm (139)
energy of formation from the pure elements	-0.012	eV per atom


no.,magnetic moment (μB per atom)
1,1.259
2,0.000
3,0.617
4,0.353
5,0.000
6,1.385
7,0.000
8,0.354
9,0.000
10,0.001
11,0.000
12,0.000